Entry 1:
## SmGa3Cu6 (GGA-PBE)

Data for a geometry-optimized SmGa3Cu6 structure.

Cell lengths 6.5696, 6.5110, 7.5190 Å; angles 108.66, 90.00, 90.00 degrees
Element x y z (fractional)
Cu1 0.7113 0.7321 0.2340
Cu2 0.4690 0.0240 0.1716
Cu3 0.2887 0.2679 0.7660
Cu4 0.5310 0.9760 0.8284
Cu5 0.7059 0.6388 0.8728
Cu6 0.7941 0.1388 0.3728
Cu7 0.2113 0.7679 0.2660
Cu8 0.7887 0.2321 0.7340
Cu9 0.2059 0.8612 0.6272
Cu10 0.0310 0.5240 0.6716
Cu11 0.9690 0.4760 0.3284
Cu12 0.2941 0.3612 0.1272
Ga1 0.0000 0.5000 0.0000
Ga2 0.5000 0.0000 0.5000
Ga3 0.1548 0.1749 0.4202
Ga4 0.8452 0.8251 0.5798
Ga5 0.6548 0.3251 0.0798
Ga6 0.3452 0.6749 0.9202
Sm1 0.5000 0.5000 0.5000
Sm2 0.0000 0.0000 0.0000

The calculation puts the formation energy at -1.83 eV/f.u. The total energy is -4.02 eV per atom. Its space-group type is No. 14.

=====

Entry 2:
## SrCaSe2Br (GGA-PBE)

Data for a geometry-optimized SrCaSe2Br structure.

Cell lengths 5.4584, 5.4584, 5.5398 Å; angles 90.00, 90.00, 90.00 degrees
Element x y z (fractional)
Ca1 0.0000 0.0000 0.0000
Se1 0.5000 0.0000 0.0000
Se2 0.0000 0.5000 0.0000
Sr1 0.5000 0.5000 0.5000
Br1 0.0000 0.0000 0.5000

The value obtained for the raw formation energy is -1.34 eV per atom. As for the relative energy among the computed polymorphs: 0.000 eV/f.u. The total energy is -3.80 eV per atom. Its space-group type is No. 123.

=====

Entry 3:
## Tb3YTh (GGA-PBE)

Data for a geometry-optimized Tb3YTh structure.

Cell lengths 6.8485, 6.8485, 9.5115 Å; angles 68.90, 68.90, 60.00 degrees
Element x y z (fractional)
Th1 0.3007 0.3007 0.0980
Th2 0.6993 0.6993 0.9020
Tb1 0.7712 0.7710 0.2000
Tb2 0.2290 0.7422 0.8000
Tb3 0.2288 0.2290 0.8000
Tb4 0.7710 0.2578 0.2000
Tb5 0.2578 0.7712 0.2000
Tb6 0.7422 0.2288 0.8000
Y1 0.8194 0.8194 0.5418
Y2 0.1806 0.1806 0.4582

The calculation puts the formation energy at 1.52 eV/f.u. As for the relative energy among the computed polymorphs: 0.574 eV/f.u. The total energy is -5.25 eV per atom. Its space-group type is No. 166.

=====

Entry 4:
## CeNd2ErN4 (GGA-PBE)

Data for a geometry-optimized CeNd2ErN4 structure.

Cell lengths 3.5733, 6.1593, 6.1910 Å; angles 109.25, 90.00, 90.00 degrees
Element x y z (fractional)
Ce1 0.0000 0.0000 0.0000
N1 0.0000 0.7461 0.2330
N2 0.5000 0.2453 0.2335
N3 0.0000 0.2539 0.7670
N4 0.5000 0.7547 0.7665
Nd1 0.5000 0.0000 0.5000
Nd2 0.0000 0.5000 0.5000
Er1 0.5000 0.5000 0.0000

The value obtained for the raw formation energy is -1.50 eV per atom. The total energy is -8.17 eV per atom. Its space-group type is No. 10.

=====

Entry 5:
## AlInBr2 (GGA-PBE)

Data for a geometry-optimized AlInBr2 structure.

Cell lengths 4.5782, 4.5782, 7.9827 Å; angles 73.29, 73.29, 60.05 degrees
Element x y z (fractional)
Br1 0.9937 0.9937 0.0183
Br2 0.5063 0.5063 0.4817
Al1 0.2500 0.2500 0.2500
In1 0.7500 0.7500 0.7500

The value obtained for the raw formation energy is -0.37 eV per atom. As for the relative energy among the computed polymorphs: 0.422 eV/f.u. The total energy is -2.83 eV per atom. Its space-group type is No. 12.

=====

Entry 6:
## MgTa2Ir (GGA-PBE)

Data for a geometry-optimized MgTa2Ir structure.

Cell lengths 3.4349, 3.4349, 5.9296 Å; angles 90.00, 90.00, 90.00 degrees
Element x y z (fractional)
Ta1 0.0000 0.0000 0.0226
Ta2 0.0000 0.0000 0.4774
Mg1 0.5000 0.5000 0.7500
Ir1 0.5000 0.5000 0.2500

The calculation puts the formation energy at 0.21 eV/f.u. The total energy is -8.49 eV per atom. Its space-group type is No. 123.

=====

In μB/atom, the M_tot values for the records above are, in order, 0.000 0.000 0.000 0.000 0.000 0.000.